Te2OsPb, relaxed, DFT GGA-PBE; space group = Cmmm, No. 65; E_form (uncorrected) = 0.162 eV/atom; crystal system = orthorhombic
1.0
5.4571 0.0000 0.0000
0.0000 9.7433 0.0000
0.0000 0.0000 4.0592
Te Os Pb
4 2 2
direct
0.0000 0.1776 0.0000
0.0000 0.8224 0.0000
0.5000 0.3224 0.0000
0.5000 0.6776 0.0000
0.0000 0.0000 0.5000
0.5000 0.5000 0.5000
0.0000 0.5000 0.5000
0.5000 0.0000 0.5000